(1)
{
  "formula": "Tb2GdTh",
  "functional": "PBE-GGA",
  "state": "relaxed",
  "lattice": [[0.000, 4.018, 4.018], [4.018, 0.000, 4.018], [4.018, 4.018, 0.000]],
  "species": ["Tb", "Tb", "Gd", "Th"],
  "frac_coords": [[0.250, 0.250, 0.250], [0.750, 0.750, 0.750], [0.000, 0.000, 0.000], [0.500, 0.500, 0.500]],
  "magmom_total_mub_per_fu": 7.6,
  "e_tot_ev_per_atom": -7.5408,
  "space_group": "Fm-3m",
  "de_polymorph_mev_per_atom": 127,
  "formation_energy_ev_per_atom": 0.150
}

(2)
{
  "formula": "Tb2GdTh",
  "functional": "PBE-GGA",
  "state": "relaxed",
  "lattice": [[4.185, 0.000, 0.000], [0.000, 4.185, 0.000], [0.000, 0.000, 7.393]],
  "species": ["Tb", "Tb", "Gd", "Th"],
  "frac_coords": [[0.000, 0.000, 0.244], [0.000, 0.000, 0.756], [0.500, 0.500, 0.500], [0.500, 0.500, 0.000]],
  "magmom_total_mub_per_fu": 7.8,
  "e_tot_ev_per_atom": -7.5658,
  "space_group": "P4/mmm",
  "de_polymorph_mev_per_atom": 102,
  "formation_energy_ev_per_atom": 0.125
}

(3)
{
  "formula": "TbGdThTl",
  "functional": "PBE-GGA",
  "state": "relaxed",
  "lattice": [[0.000, 3.891, 3.891], [3.891, 0.000, 3.891], [3.891, 3.891, 0.000]],
  "species": ["Tb", "Gd", "Th", "Tl"],
  "frac_coords": [[0.000, 0.000, 0.000], [0.500, 0.500, 0.500], [0.250, 0.250, 0.250], [0.750, 0.750, 0.750]],
  "magmom_total_mub_per_fu": 8.0,
  "e_tot_ev_per_atom": -7.0733,
  "space_group": "F-43m",
  "formation_energy_ev_per_atom": 0.051
}

(4)
{
  "formula": "TbGdTmTh",
  "functional": "PBE-GGA",
  "state": "relaxed",
  "lattice": [[0.000, 4.000, 4.000], [4.000, 0.000, 4.000], [4.000, 4.000, 0.000]],
  "species": ["Tb", "Gd", "Tm", "Th"],
  "frac_coords": [[0.000, 0.000, 0.000], [0.750, 0.750, 0.750], [0.500, 0.500, 0.500], [0.250, 0.250, 0.250]],
  "magmom_total_mub_per_fu": 7.5,
  "e_tot_ev_per_atom": -7.5188,
  "space_group": "F-43m",
  "formation_energy_ev_per_atom": 0.132
}

(5)
{
  "formula": "Tb2GdTi",
  "functional": "PBE-GGA",
  "state": "relaxed",
  "lattice": [[3.411, 0.000, 0.000], [0.000, 3.411, 0.000], [0.000, 0.000, 9.583]],
  "species": ["Tb", "Tb", "Gd", "Ti"],
  "frac_coords": [[0.000, 0.000, 0.217], [0.000, 0.000, 0.783], [0.500, 0.500, 0.500], [0.500, 0.500, 0.000]],
  "magmom_total_mub_per_fu": 7.5,
  "e_tot_ev_per_atom": -7.6463,
  "space_group": "P4/mmm",
  "formation_energy_ev_per_atom": 0.163
}

(6)
{
  "formula": "TbGd2Tl",
  "functional": "PBE-GGA",
  "state": "relaxed",
  "lattice": [[4.854, 0.000, 0.000], [0.000, 4.854, 0.000], [0.000, 0.000, 4.922]],
  "species": ["Tb", "Gd", "Gd", "Tl"],
  "frac_coords": [[0.000, 0.000, 0.000], [0.000, 0.500, 0.500], [0.500, 0.000, 0.500], [0.500, 0.500, 0.000]],
  "magmom_total_mub_per_fu": 15.6,
  "e_tot_ev_per_atom": -9.0094,
  "space_group": "P4/mmm",
  "de_polymorph_mev_per_atom": 0,
  "formation_energy_ev_per_atom": -0.220
}

(7)
{
  "formula": "TbGdTl",
  "functional": "PBE-GGA",
  "state": "relaxed",
  "lattice": [[0.000, 3.688, 3.688], [3.688, 0.000, 3.688], [3.688, 3.688, 0.000]],
  "species": ["Tb", "Gd", "Tl"],
  "frac_coords": [[0.000, 0.000, 0.000], [0.500, 0.500, 0.500], [0.750, 0.750, 0.750]],
  "magmom_total_mub_per_fu": 8.0,
  "e_tot_ev_per_atom": -7.0942,
  "space_group": "F-43m",
  "de_polymorph_mev_per_atom": 173,
  "formation_energy_ev_per_atom": -0.068
}

(8)
{
  "formula": "TbGd2Tl",
  "functional": "PBE-GGA",
  "state": "relaxed",
  "lattice": [[1.774, 1.024, 12.125], [-1.774, 1.024, 12.125], [0.000, -2.048, 12.125]],
  "species": ["Tb", "Gd", "Gd", "Tl"],
  "frac_coords": [[0.000, 0.000, 0.000], [0.411, 0.411, 0.411], [0.589, 0.589, 0.589], [0.500, 0.500, 0.500]],
  "magmom_total_mub_per_fu": 14.8,
  "e_tot_ev_per_atom": -8.7122,
  "space_group": "R-3m",
  "de_polymorph_mev_per_atom": 297,
  "formation_energy_ev_per_atom": 0.077
}

(9)
{
  "formula": "Tb2GdTl",
  "functional": "PBE-GGA",
  "state": "relaxed",
  "lattice": [[0.000, 3.872, 3.872], [3.872, 0.000, 3.872], [3.872, 3.872, 0.000]],
  "species": ["Tb", "Tb", "Gd", "Tl"],
  "frac_coords": [[0.250, 0.250, 0.250], [0.750, 0.750, 0.750], [0.000, 0.000, 0.000], [0.500, 0.500, 0.500]],
  "magmom_total_mub_per_fu": 8.5,
  "e_tot_ev_per_atom": -6.4849,
  "space_group": "Fm-3m",
  "de_polymorph_mev_per_atom": 147,
  "formation_energy_ev_per_atom": -0.058
}

(10)
{
  "formula": "TbGdTl2",
  "functional": "PBE-GGA",
  "state": "relaxed",
  "lattice": [[1.884, 1.088, 9.707], [-1.884, 1.088, 9.707], [0.000, -2.175, 9.707]],
  "species": ["Tb", "Gd", "Tl", "Tl"],
  "frac_coords": [[0.000, 0.000, 0.000], [0.500, 0.500, 0.500], [0.250, 0.250, 0.250], [0.750, 0.750, 0.750]],
  "magmom_total_mub_per_fu": 7.1,
  "e_tot_ev_per_atom": -6.1285,
  "space_group": "R-3m",
  "de_polymorph_mev_per_atom": 111,
  "formation_energy_ev_per_atom": -0.268
}

(11)
{
  "formula": "Tb2GdTl",
  "functional": "PBE-GGA",
  "state": "relaxed",
  "lattice": [[4.887, 0.000, 0.000], [0.000, 4.887, 0.000], [0.000, 0.000, 4.839]],
  "species": ["Tb", "Tb", "Gd", "Tl"],
  "frac_coords": [[0.000, 0.500, 0.000], [0.500, 0.000, 0.000], [0.000, 0.000, 0.500], [0.500, 0.500, 0.500]],
  "magmom_total_mub_per_fu": 8.1,
  "e_tot_ev_per_atom": -6.6315,
  "space_group": "P4/mmm",
  "de_polymorph_mev_per_atom": 0,
  "formation_energy_ev_per_atom": -0.205
}

(12)
{
  "formula": "TbGdTl",
  "functional": "PBE-GGA",
  "state": "relaxed",
  "lattice": [[-1.850, 1.850, 6.524], [1.850, -1.850, 6.524], [1.850, 1.850, -6.524]],
  "species": ["Tb", "Gd", "Tl"],
  "frac_coords": [[0.000, 0.000, 0.000], [0.314, 0.314, 0.000], [0.654, 0.654, 0.000]],
  "magmom_total_mub_per_fu": 7.9,
  "e_tot_ev_per_atom": -7.2673,
  "space_group": "I4mm",
  "de_polymorph_mev_per_atom": 0,
  "formation_energy_ev_per_atom": -0.241
}

(13)
{
  "formula": "TbGdTl",
  "functional": "PBE-GGA",
  "state": "relaxed",
  "lattice": [[5.284, 0.000, 0.000], [-2.642, 4.576, 0.000], [0.000, 0.000, 3.688]],
  "species": ["Tb", "Gd", "Tl"],
  "frac_coords": [[0.000, 0.000, 0.000], [0.667, 0.333, 0.545], [0.333, 0.667, 0.231]],
  "magmom_total_mub_per_fu": 7.3,
  "e_tot_ev_per_atom": -7.1768,
  "space_group": "P3m1",
  "de_polymorph_mev_per_atom": 90,
  "formation_energy_ev_per_atom": -0.151
}

(14)
{
  "formula": "TbGd2Tl",
  "functional": "PBE-GGA",
  "state": "relaxed",
  "lattice": [[3.634, 0.000, 0.000], [0.000, 3.634, 0.000], [0.000, 0.000, 9.244]],
  "species": ["Tb", "Gd", "Gd", "Tl"],
  "frac_coords": [[0.000, 0.000, 0.000], [0.500, 0.500, 0.269], [0.500, 0.500, 0.731], [0.000, 0.000, 0.500]],
  "magmom_total_mub_per_fu": 14.8,
  "e_tot_ev_per_atom": -8.9592,
  "space_group": "P4/mmm",
  "de_polymorph_mev_per_atom": 50,
  "formation_energy_ev_per_atom": -0.170
}

(15)
{
  "formula": "Tb2GdTl",
  "functional": "PBE-GGA",
  "state": "relaxed",
  "lattice": [[3.637, 0.000, 0.000], [0.000, 3.637, 0.000], [0.000, 0.000, 9.143]],
  "species": ["Tb", "Tb", "Gd", "Tl"],
  "frac_coords": [[0.000, 0.000, 0.228], [0.000, 0.000, 0.772], [0.500, 0.500, 0.500], [0.500, 0.500, 0.000]],
  "magmom_total_mub_per_fu": 7.4,
  "e_tot_ev_per_atom": -6.5864,
  "space_group": "P4/mmm",
  "de_polymorph_mev_per_atom": 45,
  "formation_energy_ev_per_atom": -0.160
}

(16)
{
  "formula": "TbGdTl2",
  "functional": "PBE-GGA",
  "state": "relaxed",
  "lattice": [[0.000, 3.821, 3.821], [3.821, 0.000, 3.821], [3.821, 3.821, 0.000]],
  "species": ["Tb", "Gd", "Tl", "Tl"],
  "frac_coords": [[0.000, 0.000, 0.000], [0.500, 0.500, 0.500], [0.250, 0.250, 0.250], [0.750, 0.750, 0.750]],
  "magmom_total_mub_per_fu": 7.4,
  "e_tot_ev_per_atom": -6.2269,
  "space_group": "Fm-3m",
  "de_polymorph_mev_per_atom": 12,
  "formation_energy_ev_per_atom": -0.366
}